No. 1
This record from the Alexandria database describes a relaxed structure of Ho2BeN. The functional is PBE.

Lattice parameters (Å, degrees): 3.3956 3.3956 8.6214 78.64 78.64 60.00
Last column: nearest neighbours and their distance in Å.
Element x y z (fractional)
Ho  0.8855  0.8855  0.3434  3 N 2.36
N  0.5000  0.5000  0.5000  6 Ho 2.36
Ho  0.1145  0.1145  0.6566  3 N 2.36
Be  0.0000  0.0000  0.0000  2 Ho 2.88

Properties
total energy	-5.467	eV per atom
E_form (uncorrected)	-0.1652	eV/atom
DOS(E_F)	4.053	states/eV/cell
space group	R-3m, No. 166

No. 2
This record from the Alexandria database describes a relaxed structure of LiCoW. The functional is PBE.

Lattice parameters (Å, degrees): 4.3921 4.3921 4.3921 145.61 127.02 64.70
Last column: nearest neighbours and their distance in Å.
Element x y z (fractional)
W  0.6666  0.6666  0.0000  5 Li 2.45-2.67, 5 Co 2.45-2.67, 2 W 2.60
Co  0.9963  0.9963  0.0000  5 W 2.45-2.67, 5 Li 2.53-2.63, 2 Co 2.60
Li  0.3371  0.3371  0.0000  5 W 2.45-2.67, 5 Co 2.53-2.63, 2 Li 2.60

Properties
energy of formation from the pure elements	107	kJ/mol of formula units
total energy	-6.953	eV per atom
DOS(E_F)	2.074	states/eV/cell
space group	Imm2, No. 44

No. 3
This record from the Alexandria database describes a relaxed structure of Li2ScSn. The functional is PBE.

Lattice parameters (Å, degrees): 4.1553 4.1553 10.7292 78.83 78.83 90.00
Last column: nearest neighbours and their distance in Å.
Element x y z (fractional)
Sn  0.0000  0.0000  0.0000  4 Li 2.91, 4 Sc 2.94
Li  0.6680  0.1250  0.2500  2 Li 2.70, 2 Sn 2.91
Sn  0.7500  0.2500  0.5000  4 Li 2.91, 4 Sc 2.94
Sc  0.5000  0.5000  0.0000  4 Sn 2.94, 4 Li 3.04
Li  0.3750  0.3320  0.7500  2 Li 2.70, 2 Sn 2.91
Li  0.0820  0.6250  0.2500  2 Li 2.70, 2 Sn 2.91
Li  0.8750  0.9180  0.7500  2 Li 2.70, 2 Sn 2.91
Sc  0.2500  0.7500  0.5000  4 Sn 2.94, 4 Li 3.04

Properties
energy of formation from the pure elements	-56	kJ/mol of formula units
total energy	-3.685	eV per atom
DOS(E_F)	3.978	states/eV/cell
space group	I-42d, No. 122

No. 4
This record from the Alexandria database describes a relaxed structure of ErSb2. The functional is PBE.

Lattice parameters (Å, degrees): 3.9766 3.9766 5.7056 110.43 110.43 89.93
Last column: nearest neighbours and their distance in Å.
Element x y z (fractional)
Sb  0.1542  0.1542  0.3094  5 Sb 3.07-3.39, 5 Er 3.20-3.43
Er  0.5000  0.5000  0.0000  10 Sb 3.20-3.43
Sb  0.8458  0.8458  0.6906  5 Sb 3.07-3.39, 5 Er 3.20-3.43

Properties
total energy	-4.885	eV per atom
E_form (uncorrected)	-0.6160	eV/atom
DOS(E_F)	1.701	states/eV/cell
space group	I4/mmm, No. 139

No. 5
This record from the Alexandria database describes a relaxed structure of MoPdPt2. The functional is PBE.

Lattice parameters (Å, degrees): 7.1111 7.1111 5.7196 51.56 51.56 90.00
Last column: nearest neighbours and their distance in Å.
Element x y z (fractional)
Pt  0.6050  0.1250  0.2500  2 Mo 2.51, 2 Pd 2.70, 2 Pt 2.74
Pt  0.8750  0.8550  0.7500  2 Mo 2.51, 2 Pd 2.70, 2 Pt 2.74
Mo  0.2500  0.7500  0.5000  4 Pt 2.51, 2 Pd 2.73
Mo  0.5000  0.5000  0.0000  4 Pt 2.51, 2 Pd 2.73
Pd  0.7500  0.2500  0.5000  4 Pt 2.70, 2 Mo 2.73
Pt  0.3750  0.3950  0.7500  2 Mo 2.51, 2 Pd 2.70, 2 Pt 2.74
Pd  0.0000  0.0000  0.0000  4 Pt 2.70, 2 Mo 2.73
Pt  0.1450  0.6250  0.2500  2 Mo 2.51, 2 Pd 2.70, 2 Pt 2.74

Properties
energy of formation from the pure elements	101	kJ/mol of formula units
total energy	-6.765	eV per atom
DOS(E_F)	9.595	states/eV/cell
space group	I-42d, No. 122

No. 6
This record from the Alexandria database describes a relaxed structure of SrLiAgAu2. The functional is PBE.

Lattice parameters (Å, degrees): 4.8508 4.8508 4.7713 90.00 90.00 90.00
Last column: nearest neighbours and their distance in Å.
Element x y z (fractional)
Li  0.0000  0.0000  0.0000  2 Ag 2.39, 4 Au 2.43
Ag  0.0000  0.0000  0.5000  2 Li 2.39
Au  0.0000  0.5000  0.0000  2 Li 2.43
Au  0.5000  0.0000  0.0000  2 Li 2.43
Sr  0.5000  0.5000  0.5000  8 Au 3.40, 4 Ag 3.43

Properties
energy of formation from the pure elements	-166	kJ/mol of formula units
total energy	-2.945	eV per atom
DOS(E_F)	1.187	states/eV/cell
space group	P4/mmm, No. 123

No. 7
This record from the Alexandria database describes a relaxed structure of KHf2AlBr. The functional is PBE.

Lattice parameters (Å, degrees): 5.0628 7.4064 5.0628 90.00 90.00 90.00
Last column: nearest neighbours and their distance in Å.
Element x y z (fractional)
K  0.5000  0.5000  0.5000  4 Br 3.58
Br  0.0000  0.5000  0.0000  4 K 3.58, 2 Al 3.70
Hf  0.0000  0.0000  0.5000  2 Al 2.53
Al  0.0000  0.0000  0.0000  4 Hf 2.53
Hf  0.5000  0.0000  0.0000  2 Al 2.53

Properties
total energy	-4.458	eV per atom
E_form (uncorrected)	0.8259	eV/atom
DOS(E_F)	1.536	states/eV/cell
space group	P4/mmm, No. 123

No. 8
This record from the Alexandria database describes a relaxed structure of ZnBi2Sb2. The functional is PBE.

Lattice parameters (Å, degrees): 8.4140 8.4140 4.2434 90.00 90.00 90.00
Last column: nearest neighbours and their distance in Å.
Element x y z (fractional)
Sb  0.6458  0.8542  0.5000  6 Bi 3.17-3.31, 1 Sb 3.47
Sb  0.3542  0.1458  0.5000  6 Bi 3.17-3.31, 1 Sb 3.47
Bi  0.1567  0.3433  0.0000  6 Sb 3.17-3.31, 2 Zn 3.18
Bi  0.6567  0.1567  0.0000  6 Sb 3.17-3.31, 2 Zn 3.18
Sb  0.8542  0.3542  0.5000  6 Bi 3.17-3.31, 1 Sb 3.47
Sb  0.1458  0.6458  0.5000  6 Bi 3.17-3.31, 1 Sb 3.47
Zn  0.5000  0.5000  0.0000  4 Bi 3.18
Bi  0.3433  0.8433  0.0000  6 Sb 3.17-3.31, 2 Zn 3.18
Zn  0.0000  0.0000  0.0000  4 Bi 3.18
Bi  0.8433  0.6567  0.0000  6 Sb 3.17-3.31, 2 Zn 3.18

Properties
total energy	-3.197	eV per atom
E_form (uncorrected)	0.2591	eV/atom
DOS(E_F)	7.183	states/eV/cell
space group	P4/mbm, No. 127